(1)
DFT (PBE) results for NaBe2Rh2 after structural relaxation.

Properties
Energy relative to the lowest polymorph listed for this composition, eV per atom: 0.000
Fermi-level density of states, states/eV/atom: 0.364
ρ, kg/m3: 6594
Formation energy, meV/atom: -211.6

abc: 6.5471 6.5471 2.9002
angles: 90.00 90.00 90.00
Sites, in units of the cell vectors:
Na 0.0000 0.0000 0.0000
Na 0.5000 0.5000 0.0000
Be 0.1236 0.3764 0.0000
Be 0.3764 0.8764 0.0000
Be 0.6236 0.1236 0.0000
Be 0.8764 0.6236 0.0000
Rh 0.1573 0.6573 0.5000
Rh 0.3427 0.1573 0.5000
Rh 0.6573 0.8427 0.5000
Rh 0.8427 0.3427 0.5000

***

(2)
DFT (PBE) results for NaBe2SiRh after structural relaxation.

Properties
Fermi-level density of states, states/eV/atom: 0.462
ρ, kg/m3: 3608
ΔE_f (raw), eV per atom: 1.70

abc: 4.1601 4.1601 4.5740
angles: 90.00 90.00 90.00
Sites, in units of the cell vectors:
Na 0.0000 0.0000 0.0000
Be 0.0000 0.5000 0.0000
Be 0.5000 0.0000 0.0000
Si 0.5000 0.5000 0.5000
Rh 0.0000 0.0000 0.5000

***

(3)
DFT (PBE) results for NaTaBeRh2 after structural relaxation.

Properties
Fermi-level density of states, states/eV/atom: 1.141
ρ, kg/m3: 8862
Formation energy, meV/atom: 1376.9

abc: 4.4715 4.4715 3.9246
angles: 90.00 90.00 90.00
Sites, in units of the cell vectors:
Na 0.0000 0.0000 0.0000
Ta 0.5000 0.5000 0.5000
Be 0.0000 0.0000 0.5000
Rh 0.0000 0.5000 0.0000
Rh 0.5000 0.0000 0.0000

***

(4)
DFT (PBE) results for Na2TiBeRh after structural relaxation.

Properties
Fermi-level density of states, states/eV/atom: 1.146
ρ, kg/m3: 2404
Formation energy, meV/atom: 1243.1

abc: 5.6912 5.6912 4.3881
angles: 90.00 90.00 90.00
Sites, in units of the cell vectors:
Na 0.0000 0.5000 0.0000
Na 0.5000 0.0000 0.0000
Ti 0.0000 0.0000 0.0000
Be 0.5000 0.5000 0.5000
Rh 0.0000 0.0000 0.5000

***

Copy entry 2 word for word.
DFT (PBE) results for NaBe2SiRh after structural relaxation.

Properties
Fermi-level density of states, states/eV/atom: 0.462
ρ, kg/m3: 3608
ΔE_f (raw), eV per atom: 1.70

abc: 4.1601 4.1601 4.5740
angles: 90.00 90.00 90.00
Sites, in units of the cell vectors:
Na 0.0000 0.0000 0.0000
Be 0.0000 0.5000 0.0000
Be 0.5000 0.0000 0.0000
Si 0.5000 0.5000 0.5000
Rh 0.0000 0.0000 0.5000

***

What did the fourth record say?
DFT (PBE) results for Na2TiBeRh after structural relaxation.

Properties
Fermi-level density of states, states/eV/atom: 1.146
ρ, kg/m3: 2404
Formation energy, meV/atom: 1243.1

abc: 5.6912 5.6912 4.3881
angles: 90.00 90.00 90.00
Sites, in units of the cell vectors:
Na 0.0000 0.5000 0.0000
Na 0.5000 0.0000 0.0000
Ti 0.0000 0.0000 0.0000
Be 0.5000 0.5000 0.5000
Rh 0.0000 0.0000 0.5000

***

- Among the records above, which one has the highest Fermi-level density of states?
  Na2TiBeRh

***

- Fermi-level density of states of number 4 (Na2TiBeRh)?
  1.146 states/eV/atom